No. 1
Compound: Pm4YZn4
Source: the Alexandria database
Functional: PBE-GGA
Structure: optimized geometry

Formation enthalpy at 0 K in eV per atom: -0.081

Cell lengths 8.814, 8.814, 6.365 Å; angles 90.00, 90.00, 90.00 degrees
Space group P4_2/n (No. 86, origin choice 2)
One atom of each set of equivalent atoms:
1 Pm 0.029 0.656 0.146 (multiplicity 8)
2 Y 0.250 0.250 0.250 (multiplicity 2)
3 Zn 0.026 0.634 0.607 (multiplicity 8)

=====

No. 2
Compound: SrCa3Rh
Source: the Alexandria database
Functional: PBE-GGA
Structure: optimized geometry

Formation enthalpy at 0 K in eV per atom: -0.224
Polymorph energy (0 for the lowest one) in meV/atom: 3

Cell lengths 8.995, 4.108, 9.571 Å; angles 90.00, 101.00, 90.00 degrees
Space group Pm (No. 6)
One atom of each set of equivalent atoms:
1 Sr 0.000 0.000 0.000 (multiplicity 1)
2 Sr 0.419 0.500 0.148 (multiplicity 1)
3 Ca 0.020 0.500 0.643 (multiplicity 1)
4 Ca 0.206 0.000 0.410 (multiplicity 1)
5 Ca 0.354 0.000 0.792 (multiplicity 1)
6 Ca 0.603 0.000 0.516 (multiplicity 1)
7 Ca 0.663 0.500 0.850 (multiplicity 1)
8 Ca 0.815 0.500 0.249 (multiplicity 1)
9 Rh 0.382 0.500 0.584 (multiplicity 1)
10 Rh 0.651 0.000 0.061 (multiplicity 1)

=====

No. 3
Compound: Rb2TlBrF2
Source: the Alexandria database
Functional: PBE-GGA
Structure: optimized geometry

Uncorrected formation energy in eV/atom: -1.95

Cell lengths 5.061, 5.061, 7.450 Å; angles 90.00, 90.00, 90.00 degrees
Space group P4/mmm (No. 123)
One atom of each set of equivalent atoms:
1 Rb 0.000 0.000 0.236 (multiplicity 2)
2 Tl 0.500 0.500 0.000 (multiplicity 1)
3 Br 0.500 0.500 0.500 (multiplicity 1)
4 F 0.000 0.500 0.000 (multiplicity 2)

=====

No. 4
Compound: Mg2Si3
Source: the Alexandria database
Functional: PBE-GGA
Structure: optimized geometry

Uncorrected formation energy in eV/atom: 0.14
Polymorph energy (0 for the lowest one) in meV/atom: 108

Cell lengths 3.915, 6.192, 17.593 Å; angles 80.74, 89.17, 76.65 degrees
Space group P-1 (No. 2)
One atom of each set of equivalent atoms:
1 Mg 0.094 0.245 0.488 (multiplicity 2)
2 Mg 0.309 0.801 0.978 (multiplicity 2)
3 Mg 0.352 0.519 0.718 (multiplicity 2)
4 Mg 0.387 0.093 0.190 (multiplicity 2)
5 Si 0.043 0.771 0.226 (multiplicity 2)
6 Si 0.184 0.250 0.898 (multiplicity 2)
7 Si 0.190 0.970 0.684 (multiplicity 2)
8 Si 0.329 0.947 0.394 (multiplicity 2)
9 Si 0.402 0.509 0.116 (multiplicity 2)
10 Si 0.479 0.548 0.431 (multiplicity 2)

=====

No. 5
Compound: BaB3Pt6
Source: the Alexandria database
Functional: PBE-GGA
Structure: optimized geometry

Formation enthalpy at 0 K in eV per atom: -0.395

Cell lengths 5.488, 5.749, 6.204 Å; angles 73.93, 63.96, 77.83 degrees
Space group P1 (No. 1)
One atom of each set of equivalent atoms:
1 Ba 0.000 0.000 0.000 (multiplicity 1)
2 B 0.066 0.697 0.577 (multiplicity 1)
3 B 0.350 0.321 0.181 (multiplicity 1)
4 B 0.615 0.320 0.665 (multiplicity 1)
5 Pt 0.214 0.490 0.878 (multiplicity 1)
6 Pt 0.337 0.984 0.423 (multiplicity 1)
7 Pt 0.463 0.495 0.382 (multiplicity 1)
8 Pt 0.697 0.516 0.879 (multiplicity 1)
9 Pt 0.734 0.982 0.572 (multiplicity 1)
10 Pt 0.962 0.490 0.388 (multiplicity 1)

=====

No. 6
Compound: PuZn2In2Au2
Source: the Alexandria database
Functional: PBE-GGA
Structure: optimized geometry

Formation enthalpy at 0 K in eV per atom: -0.241

Cell lengths 4.5847, 4.5847, 25.0971 Å; angles 90.00, 90.00, 120.00 degrees
Space group R-3m (No. 166, hexagonal axes)
One atom of each set of equivalent atoms:
1 Pu 0.0000 0.0000 0.0000 (multiplicity 3)
2 Zn 0.0000 0.0000 0.3985 (multiplicity 6)
3 In 0.0000 0.0000 0.1329 (multiplicity 6)
4 Au 0.0000 0.0000 0.2562 (multiplicity 6)

=====

Values of total moment, in order: 0.00, 0.00, 0.00, 0.00, 0.00, 16.67, all in μB per cell.